Below is a relaxed CrInAs2O8 crystal, with properties calculated at the PBE+U level.

Values from the calculation:
* theoretical density: 5.09 g/cm³
* total magnetization: 3.000 μB per formula unit
* electronic total energy: -6.167 eV/atom
* V: 290.1 Å³/cell
* Fermi-level density of states: 9.03 states/eV per cell

CIF file:
```
data_CrInAs2O8
_symmetry_space_group_name_H-M 'I -4 m 2'
_symmetry_Int_Tables_number 119
_symmetry_space_group_name_Hall 'I -4 -2'
_cell_length_a 6.7964
_cell_length_b 6.7964
_cell_length_c 6.2801
_cell_angle_alpha 90.00
_cell_angle_beta 90.00
_cell_angle_gamma 90.00
loop_
_atom_site_label
_atom_site_type_symbol
_atom_site_fract_x
_atom_site_fract_y
_atom_site_fract_z
_atom_site_occupancy
Cr1 Cr 0.0000 0.0000 0.0000 1
In1 In 0.0000 0.5000 0.7500 1
As1 As 0.0000 0.0000 0.5000 1
As2 As 0.0000 0.5000 0.2500 1
O1 O 0.0000 0.1843 0.6869 1
O2 O 0.0000 0.3097 0.0671 1
```